The following is a GGA-PBE calculation of a relaxed structure of NbRe2Rh, from Alexandria.

CIF file:
```
data_NbRe2Rh
_cell_length_a 4.062
_cell_length_b 3.906
_cell_length_c 3.906
_cell_angle_alpha 90.00
_cell_angle_beta 90.00
_cell_angle_gamma 90.00
_space_group_name_H-M_alt 'P 1'
_space_group_IT_number 1
loop_
_space_group_symop_operation_xyz
'x,y,z'
loop_
_atom_site_label
_atom_site_type_symbol
_atom_site_fract_x
_atom_site_fract_y
_atom_site_fract_z
Re1 Re 0.000 0.000 0.500
Re2 Re 0.000 0.500 0.000
Nb1 Nb 0.500 0.500 0.500
Rh1 Rh 0.500 0.000 0.000
```

Summary:
Formation enthalpy at 0 K in eV per formula unit: -0.39
Energy above the most stable polymorph in this dataset in meV/atom: 0
SG: P4/mmm (123)
Magnetization in μB per formula unit: 0.00